Entry 1:
First-principles (PBE-GGA) data for a relaxed structure of Pr8Dy2Tl, as listed in Alexandria via LeMat-Bulk.

Cell: 18.570 5.102 8.189 Å, 90.00 105.66 90.00°
Space group C2/m (No. 12)
Unique sites:
Pr 0.045 0.000 0.228 [4 per cell]
Pr 0.091 0.500 0.944 [4 per cell]
Pr 0.138 0.000 0.681 [4 per cell]
Pr 0.179 0.500 0.408 [4 per cell]
Dy 0.225 0.000 0.133 [4 per cell]
Tl 0.000 0.500 0.500 [2 per cell]

## Properties
* offset from the most stable computed form: 0 meV/atom
* magnetic moment: 0.00 μB/cell
* DFT formation energy: -0.04 eV per atom

***

Entry 2:
First-principles (PBE-GGA) data for a relaxed structure of PrDy4Tl2, as listed in Alexandria via LeMat-Bulk.

Cell: 16.711 5.442 9.919 Å, 90.00 106.45 90.00°
Space group C2/m (No. 12)
Unique sites:
Pr 0.099 0.000 0.074 [4 per cell]
Dy 0.035 0.000 0.686 [4 per cell]
Dy 0.141 0.500 0.329 [4 per cell]
Dy 0.202 0.500 0.693 [4 per cell]
Dy 0.242 0.500 0.081 [4 per cell]
Tl 0.051 0.500 0.864 [4 per cell]
Tl 0.158 0.000 0.500 [4 per cell]

## Properties
* offset from the most stable computed form: 0 meV/atom
* magnetic moment: 0.00 μB/cell
* DFT formation energy: -0.12 eV per atom

***

Entry 3:
First-principles (PBE-GGA) data for a relaxed structure of Pr8Dy6Tl, as listed in Alexandria via LeMat-Bulk.

Cell: 9.4253 9.4253 6.6114 Å, 90.00 90.00 120.00°
Space group P-3 (No. 147)
Unique sites:
Pr 0.0430 0.7687 0.3208 [6 per cell]
Pr 0.3333 0.6667 0.3598 [2 per cell]
Dy 0.0990 0.6501 0.8362 [6 per cell]
Tl 0.0000 0.0000 0.0000 [1 per cell]

## Properties
* magnetic moment: 0.00 μB/cell
* DFT formation energy: 0.08 eV per atom

***

> Look up the DFT formation energy of the third one.

0.08 eV per atom

***

> magnetic moment of number 2 (PrDy4Tl2)?

0.00 μB/cell